DFT (PBE-GGA) results for an optimized crystal structure of GaCu2PbS4. Values from VASP.

- uncorrected formation energy (meV/atom) = -404.8
- V (Å³/atom) = 21.7
- crystal system = tetragonal
- total magnetic moment (μB/f.u.) = 0.00

Quantum ESPRESSO input file:
```
&SYSTEM
  ibrav = 0, nat = 8, ntyp = 4
/
ATOMIC_SPECIES
Ga 69.72 Ga.upf
Cu 63.55 Cu.upf
Pb 207.20 Pb.upf
S 32.06 S.upf
ATOMIC_POSITIONS angstrom
Ga 0.000 0.000 5.197
Cu 2.889 0.120 2.599
Cu -0.120 2.889 2.599
Pb 0.000 0.000 0.002
S 1.197 1.300 3.703
S 1.470 4.205 1.495
S 4.069 1.813 1.495
S -1.197 -1.300 3.703
CELL_PARAMETERS angstrom
5.779 0.240 0.000
-0.240 5.779 0.000
-2.769 -3.009 5.198
```